No. 1
The following is a DFT calculation (PBE) of a geometry-optimized LaPmNd3 structure.

Unit cell a=22.7370 b=3.7103 c=8.8058 alpha=90.00 beta=105.30 gamma=90.00
Space group C2/m (No. 12)
Symmetry-distinct sites (fractional):
La1 0.0838 0.0000 0.0850 [4 per cell]
Pm1 0.2179 0.5000 0.3190 [4 per cell]
Nd1 0.0168 0.5000 0.7135 [4 per cell]
Nd2 0.1175 0.0000 0.5174 [4 per cell]
Nd3 0.1838 0.5000 0.8839 [4 per cell]

Energy relative to the lowest polymorph listed for this composition ... 0.0 kJ/mol of formula units
Energy of formation from the pure elements ... 0.03 eV per atom
VASP energy ... -4.764 eV/atom


No. 2
The following is a DFT calculation (PBE) of a geometry-optimized La2PmNd structure.

Unit cell a=7.3912 b=7.3929 c=11.1508 alpha=70.68 beta=89.91 gamma=89.73
Space group P-1 (No. 2)
Symmetry-distinct sites (fractional):
La1 0.1244 0.3109 0.1270 [2 per cell]
La2 0.1246 0.0645 0.6231 [2 per cell]
La3 0.3741 0.1876 0.8735 [2 per cell]
La4 0.3746 0.4378 0.3764 [2 per cell]
Pm1 0.1243 0.8126 0.1238 [2 per cell]
Pm2 0.1247 0.5621 0.6262 [2 per cell]
Nd1 0.3745 0.6863 0.8764 [2 per cell]
Nd2 0.3748 0.9383 0.3736 [2 per cell]

Energy relative to the lowest polymorph listed for this composition ... 3.0 kJ/mol of formula units
Energy of formation from the pure elements ... 0.02 eV per atom
VASP energy ... -4.825 eV/atom


No. 3
The following is a DFT calculation (PBE) of a geometry-optimized La8Pm6Nd structure.

Unit cell a=6.4226 b=6.4226 c=45.3327 alpha=90.00 beta=90.00 gamma=120.00
Space group R-3 (No. 148, hexagonal axes)
Symmetry-distinct sites (fractional):
La1 0.0000 0.0000 0.1667 [6 per cell]
La2 0.0000 0.3333 0.0342 [18 per cell]
Pm1 0.0000 0.3327 0.5660 [18 per cell]
Nd1 0.0000 0.0000 0.5000 [3 per cell]

Energy relative to the lowest polymorph listed for this composition ... 0.0 kJ/mol of formula units
Energy of formation from the pure elements ... 0.02 eV per atom
VASP energy ... -4.825 eV/atom


No. 4
The following is a DFT calculation (PBE) of a geometry-optimized LaPm2Nd4 structure.

Unit cell a=4.6771 b=4.6771 c=23.2316 alpha=90.00 beta=90.00 gamma=90.00
Space group I4/mmm (No. 139)
Symmetry-distinct sites (fractional):
La1 0.0000 0.0000 0.0000 [2 per cell]
Pm1 0.0000 0.0000 0.4001 [4 per cell]
Nd1 0.0000 0.0000 0.1384 [4 per cell]
Nd2 0.0000 0.5000 0.2500 [4 per cell]

Energy relative to the lowest polymorph listed for this composition ... 9.8 kJ/mol of formula units
Energy of formation from the pure elements ... 0.22 eV per atom
VASP energy ... -4.563 eV/atom


No. 5
The following is a DFT calculation (PBE) of a geometry-optimized La3Pm7Nd2 structure.

Unit cell a=6.5419 b=3.6196 c=18.0917 alpha=90.00 beta=96.31 gamma=90.00
Space group P2/m (No. 10)
Symmetry-distinct sites (fractional):
La1 0.0000 0.0000 0.0000 [1 per cell]
La2 0.0457 0.5000 0.6614 [2 per cell]
Pm1 0.2298 0.5000 0.1662 [2 per cell]
Pm2 0.2450 0.0000 0.4996 [2 per cell]
Pm3 0.2738 0.0000 0.8336 [2 per cell]
Pm4 0.5000 0.5000 0.0000 [1 per cell]
Nd1 0.4480 0.0000 0.3290 [2 per cell]

Energy relative to the lowest polymorph listed for this composition ... 0.0 kJ/mol of formula units
Energy of formation from the pure elements ... 0.07 eV per atom
VASP energy ... -4.727 eV/atom


No. 6
The following is a DFT calculation (PBE) of a geometry-optimized La5PmNd5 structure.

Unit cell a=6.9702 b=8.0328 c=8.4294 alpha=100.22 beta=100.26 gamma=115.27
Space group P-1 (No. 2)
Symmetry-distinct sites (fractional):
La1 0.0000 0.0000 0.0000 [1 per cell]
La2 0.0244 0.8080 0.3574 [2 per cell]
La3 0.3459 0.7582 0.7591 [2 per cell]
Pm1 0.5000 0.5000 0.0000 [1 per cell]
Nd1 0.0000 0.5000 0.0000 [1 per cell]
Nd2 0.2413 0.3634 0.3582 [2 per cell]
Nd3 0.4839 0.1779 0.6562 [2 per cell]

Energy relative to the lowest polymorph listed for this composition ... 0.0 kJ/mol of formula units
Energy of formation from the pure elements ... 0.15 eV per atom
VASP energy ... -4.687 eV/atom


No. 7
The following is a DFT calculation (PBE) of a geometry-optimized LaPm10Nd4 structure.

Unit cell a=10.0250 b=10.0250 c=11.0516 alpha=90.00 beta=90.00 gamma=90.00
Space group I4/m (No. 87)
Symmetry-distinct sites (fractional):
La1 0.0000 0.0000 0.0000 [2 per cell]
Pm1 0.0000 0.5000 0.2500 [4 per cell]
Pm2 0.1203 0.7779 0.1696 [16 per cell]
Nd1 0.0569 0.7168 0.5000 [8 per cell]

Energy of formation from the pure elements ... 0.40 eV per atom
VASP energy ... -4.366 eV/atom


No. 8
The following is a DFT calculation (PBE) of a geometry-optimized La7Pm2Nd structure.

Unit cell a=12.2390 b=17.3157 c=3.5694 alpha=90.00 beta=90.00 gamma=90.00
Space group Cmmm (No. 65)
Symmetry-distinct sites (fractional):
La1 0.0000 0.0000 0.0000 [2 per cell]
La2 0.0000 0.1795 0.5000 [4 per cell]
La3 0.2436 0.1304 0.0000 [8 per cell]
Pm1 0.0000 0.3317 0.0000 [4 per cell]
Nd1 0.0000 0.5000 0.5000 [2 per cell]

Energy relative to the lowest polymorph listed for this composition ... 0.0 kJ/mol of formula units
Energy of formation from the pure elements ... 0.31 eV per atom
VASP energy ... -4.566 eV/atom